A relaxed structure of La2HoEr2In5. Source: Alexandria via LeMat-Bulk, functional GGA-PBE.

The energy is -4.08 eV/atom. As for the total moment: 0.00 μB per atom. The value obtained for the density is 7.9 g/cm³.

The structure belongs to space group P4/mbm (No. 127); the cell edges are 11.049, 11.049 and 4.646 Å and the angles 90.00°, 90.00° and 90.00°. The inequivalent atoms are La at (0.176, 0.324, 0.000), Ho at (0.000, 0.000, 0.000), Er at (0.125, 0.625, 0.000), In at (0.000, 0.500, 0.500) and In at (0.062, 0.806, 0.500).